(a)
VASP calculation (PBE-GGA) on an optimized crystal structure of InTeI2O.

Values from the calculation:
Space group: P4/mmm

Lattice parameters (Å, degrees): 6.3293 6.3293 4.1202 90.00 90.00 90.00
Atoms (fractional coordinates):
I 0.0000 0.5000 0.0000
I 0.5000 0.0000 0.0000
Te 0.0000 0.0000 0.0000
O 0.0000 0.0000 0.5000
In 0.5000 0.5000 0.5000

---

(b)
VASP calculation (PBE-GGA) on an optimized crystal structure of InTeI2O.

Values from the calculation:
Space group: P4/mmm

Lattice parameters (Å, degrees): 5.4909 5.4909 4.6679 90.00 90.00 90.00
Atoms (fractional coordinates):
I 0.0000 0.5000 0.0000
I 0.5000 0.0000 0.0000
Te 0.0000 0.0000 0.5000
O 0.0000 0.0000 0.0000
In 0.5000 0.5000 0.5000

---

Computed stability ranking, most favorable first: (a), (b)

---

(a)
VASP calculation (PBE-GGA) on an optimized crystal structure of InTe2IO.

Values from the calculation:
Space group: P4/mmm

Lattice parameters (Å, degrees): 5.7714 5.7714 6.0343 90.00 90.00 90.00
Last column: magnetic moment on the atom in μB.
Atoms (fractional coordinates):
I 0.0000 0.0000 0.5000  0.20
Te 0.0000 0.5000 0.0000  0.47
Te 0.5000 0.0000 0.0000  0.47
O 0.5000 0.5000 0.5000  1.40
In 0.0000 0.0000 0.0000  -0.01

---

(b)
VASP calculation (PBE-GGA) on an optimized crystal structure of InTe2IO.

Values from the calculation:
Space group: P4/mmm

Lattice parameters (Å, degrees): 4.5587 4.5587 7.2767 90.00 90.00 90.00
Atoms (fractional coordinates):
I 0.0000 0.0000 0.5000
Te 0.0000 0.5000 0.0000
Te 0.5000 0.0000 0.0000
O 0.0000 0.0000 0.0000
In 0.5000 0.5000 0.5000

---

Computed stability ranking, most favorable first: (b), (a)

---

(a)
VASP calculation (PBE-GGA) on an optimized crystal structure of TiInIO2.

Values from the calculation:
Space group: P4/mmm

Lattice parameters (Å, degrees): 4.1674 4.1674 6.0064 90.00 90.00 90.00
Last column: magnetic moment on the atom in μB.
Atoms (fractional coordinates):
I 0.0000 0.0000 0.5000  -0.02
Ti 0.5000 0.5000 0.5000  1.93
O 0.0000 0.5000 0.0000  -0.16
O 0.5000 0.0000 0.0000  -0.16
In 0.0000 0.0000 0.0000  0.01

---

(b)
VASP calculation (PBE-GGA) on an optimized crystal structure of TiInIO2.

Values from the calculation:
Space group: P4/mmm

Lattice parameters (Å, degrees): 4.0999 4.0999 5.6782 90.00 90.00 90.00
Atoms (fractional coordinates):
I 0.0000 0.0000 0.5000
Ti 0.0000 0.0000 0.0000
O 0.0000 0.5000 0.0000
O 0.5000 0.0000 0.0000
In 0.5000 0.5000 0.5000

---

Computed stability ranking, most favorable first: (b), (a)